Record 1
An optimized crystal structure of Rb3PmEr2Se6. Source: the Alexandria database, functional PBE-GGA.

Structure (POSCAR):
```
Rb3PmEr2Se6
1.0
7.3729 -0.0012 -0.0003
-3.6857 6.3856 -0.0003
-1.2300 -2.1298 7.9994
Er Se Rb Pm
2 6 3 1
Cartesian
-0.0012 4.2576 -0.0003 Er
3.6884 2.1267 -0.0003 Er
2.4278 4.2037 1.5637 Se
0.0294 0.0509 6.4352 Se
-1.2587 2.1810 1.5678 Se
3.7158 2.0736 6.4311 Se
2.5181 -0.0002 1.5678 Se
-0.0609 4.2548 6.4311 Se
4.9323 -0.0118 3.9995 Rb
1.2286 2.1273 3.9995 Rb
-2.4751 4.2663 3.9995 Rb
0.0000 0.0000 0.0000 Pm
```

Output
Crystal system: monoclinic
Symmetry: C2/m, No. 12


Record 2
An optimized crystal structure of Rb3Pm2ErSe6. Source: the Alexandria database, functional PBE-GGA.

Structure (POSCAR):
```
Rb3Pm2ErSe6
1.0
7.4535 -0.0012 -0.0002
-3.7260 6.4554 -0.0002
-1.2434 -2.1529 8.0110
Se Er Rb Pm
6 1 3 2
Cartesian
3.6964 2.2017 6.4273 Se
-0.0313 -0.0541 6.4241 Se
-1.2122 2.0996 1.5834 Se
2.5154 4.3554 1.5865 Se
2.4244 -0.0007 1.5834 Se
0.0598 4.3020 6.4273 Se
0.0000 0.0000 0.0000 Er
4.9520 0.0080 4.0053 Rb
1.2421 2.1506 4.0053 Rb
-2.4679 4.2933 4.0053 Rb
0.0023 4.3022 -0.0002 Pm
3.7252 2.1521 -0.0002 Pm
```

Output
Crystal system: monoclinic
Symmetry: C2/m, No. 12


Record 3
An optimized crystal structure of Rb3Pm3ErSe8. Source: the Alexandria database, functional PBE-GGA.

Structure (POSCAR):
```
Rb3Pm3ErSe8
1.0
-2.0485 -8.2150 1.0190
7.9730 2.6257 1.5070
-6.5954 2.4436 6.4735
Se Pm Rb Er
8 3 3 1
Cartesian
-2.2903 -1.3008 2.2995 Se
-1.4189 1.0210 5.4048 Se
1.7249 -0.0553 3.0129 Se
1.6194 -1.8449 6.7001 Se
2.6701 2.3676 6.1777 Se
-3.3411 -5.5133 2.8218 Se
-2.3959 -3.0904 5.9866 Se
0.7480 -4.1667 3.5947 Se
0.6888 2.5347 3.9902 Pm
-0.3355 -1.5728 4.4998 Pm
-4.3220 -2.8857 3.7462 Pm
2.9622 -2.7946 1.2630 Rb
3.9865 1.3129 0.7535 Rb
0.0000 0.0000 0.0000 Rb
-3.2977 1.2218 3.2367 Er
```

Output
Crystal system: trigonal
Symmetry: R-3m, No. 166


Record 4
An optimized crystal structure of Rb4Pm3ErTe8. Source: the Alexandria database, functional PBE-GGA.

Structure (POSCAR):
```
Rb4Pm3ErTe8
1.0
9.1839 0.0000 0.0000
0.0000 10.0576 0.6062
-4.5920 -4.5882 6.4973
Te Pm Er Rb
8 3 1 4
Cartesian
4.5920 4.9321 3.4808 Te
4.5920 0.5293 3.6848 Te
6.9360 2.8714 0.3683 Te
0.0000 0.5373 3.6227 Te
2.3441 2.5980 6.7352 Te
-2.3441 2.5980 6.7352 Te
0.0000 4.9401 3.4187 Te
2.2479 2.8714 0.3683 Te
2.2960 2.7347 3.5517 Pm
-2.2960 2.7347 3.5517 Pm
4.5920 5.0288 0.3031 Pm
0.0000 5.0288 0.3031 Er
4.5920 0.0000 0.0000 Rb
0.0000 0.0000 0.0000 Rb
2.2960 -2.2941 3.2486 Rb
-2.2960 -2.2941 3.2486 Rb
```

Output
Crystal system: trigonal
Symmetry: R-3m, No. 166


| no. | ΔE_f (raw) (meV/atom) |
| --- | --- |
| 1 | -1732 |
| 2 | -1734 |
| 3 | -1658 |
| 4 | -1395 |